Density functional theory data (PBE+U) for an optimized crystal structure of Ga2NiF.

Values from the calculation:
Symmetry ... Fm-3m (225)
Volume ... 218.74 Å³ per cell
Offset from the most stable computed form ... 0.041 eV per atom
Spin magnetization ... 0.0 Bohr magnetons per cell
DFT total energy ... -2.810 eV per atom

a = 6.0253 Å, b = 6.0253 Å, c = 6.0253 Å
α = 90.00°, β = 90.00°, γ = 90.00°
Fractional coordinates of all 16 atoms:
Ga1 0.2500 0.2500 0.2500
Ga2 0.2500 0.2500 0.7500
Ga3 0.2500 0.7500 0.2500
Ga4 0.2500 0.7500 0.7500
Ga5 0.7500 0.2500 0.2500
Ga6 0.7500 0.2500 0.7500
Ga7 0.7500 0.7500 0.2500
Ga8 0.7500 0.7500 0.7500
Ni1 0.0000 0.0000 0.0000
Ni2 0.0000 0.5000 0.5000
Ni3 0.5000 0.0000 0.5000
Ni4 0.5000 0.5000 0.0000
F1 0.0000 0.0000 0.5000
F2 0.0000 0.5000 0.0000
F3 0.5000 0.0000 0.0000
F4 0.5000 0.5000 0.5000